Computed, not measured: Ho3Er2Sc5 after structural relaxation at the PBE level of DFT.

Calculated values
DFT formation energy: 423 meV/atom

a b c (Å): 9.452 9.452 9.452
angles (deg): 114.19 123.49 92.20
Atoms (fractional coordinates):
1 Sc 0.500 0.250 0.750
2 Sc 0.451 0.379 0.071
3 Sc 0.262 0.512 0.250
4 Sc 0.500 0.750 0.250
5 Sc 0.262 0.012 0.750
6 Sc 0.692 0.121 0.571
7 Sc 0.738 0.488 0.750
8 Sc 0.308 0.879 0.429
9 Sc 0.738 0.988 0.250
10 Sc 0.549 0.621 0.929
11 Ho 0.657 0.893 0.763
12 Ho 0.000 0.750 0.750
13 Ho 0.130 0.393 0.737
14 Ho 0.000 0.250 0.250
15 Ho 0.343 0.107 0.237
16 Ho 0.870 0.607 0.263
17 Er 0.040 0.157 0.883
18 Er 0.960 0.843 0.117
19 Er 0.274 0.657 0.617
20 Er 0.726 0.343 0.383

---

Computed, not measured: HoEr3Sc4 after structural relaxation at the PBE level of DFT.

Calculated values
E above lowest polymorph: 0.00 eV/f.u.
DFT formation energy: 20 meV/atom

a b c (Å): 5.982 6.903 10.723
angles (deg): 90.00 90.00 90.00
Atoms (fractional coordinates):
1 Er 0.644 0.632 0.000
2 Er 0.144 0.368 0.500
3 Er 0.485 0.367 0.750
4 Er 0.485 0.367 0.250
5 Er 0.985 0.633 0.750
6 Er 0.985 0.633 0.250
7 Ho 0.144 0.367 0.000
8 Ho 0.644 0.633 0.500
9 Sc 0.478 0.882 0.250
10 Sc 0.651 0.118 0.500
11 Sc 0.151 0.882 0.000
12 Sc 0.478 0.882 0.750
13 Sc 0.978 0.118 0.750
14 Sc 0.978 0.118 0.250
15 Sc 0.651 0.118 0.000
16 Sc 0.151 0.882 0.500

---

Computed, not measured: HoEr5Sc4 after structural relaxation at the PBE level of DFT.

Calculated values
E above lowest polymorph: 0.00 eV/f.u.
DFT formation energy: 156 meV/atom

a b c (Å): 3.429 9.818 8.787
angles (deg): 84.00 101.25 90.00
Atoms (fractional coordinates):
1 Er 0.859 0.232 0.718
2 Er 0.190 0.404 0.380
3 Er 0.810 0.596 0.620
4 Er 0.500 0.500 0.000
5 Er 0.141 0.768 0.282
6 Sc 0.050 0.235 0.099
7 Sc 0.950 0.765 0.901
8 Sc 0.685 0.088 0.369
9 Sc 0.315 0.912 0.631
10 Ho 0.500 0.000 0.000

---

Computed, not measured: Ho2Er4Sc after structural relaxation at the PBE level of DFT.

Calculated values
E above lowest polymorph: 0.00 eV/f.u.
DFT formation energy: 187 meV/atom

a b c (Å): 5.443 12.045 13.041
angles (deg): 90.00 90.00 90.00
Atoms (fractional coordinates):
1 Er 0.001 0.645 0.820
2 Er 0.999 0.145 0.680
3 Er 0.999 0.245 0.925
4 Er 0.499 0.245 0.575
5 Er 0.501 0.855 0.180
6 Er 0.001 0.755 0.075
7 Er 0.499 0.145 0.820
8 Er 0.501 0.645 0.680
9 Er 0.999 0.355 0.180
10 Er 0.499 0.255 0.075
11 Er 0.501 0.755 0.425
12 Er 0.999 0.255 0.425
13 Er 0.001 0.855 0.320
14 Er 0.501 0.745 0.925
15 Er 0.499 0.355 0.320
16 Er 0.001 0.745 0.575
17 Ho 0.000 0.570 0.345
18 Ho 0.500 0.570 0.155
19 Ho 0.000 0.070 0.155
20 Ho 0.000 0.430 0.655
21 Ho 0.000 0.930 0.845
22 Ho 0.500 0.430 0.845
23 Ho 0.500 0.930 0.655
24 Ho 0.500 0.070 0.345
25 Sc 0.500 0.000 0.000
26 Sc 0.000 0.500 0.000
27 Sc 0.500 0.500 0.500
28 Sc 0.000 0.000 0.500

---

Computed, not measured: Ho8ErSc4 after structural relaxation at the PBE level of DFT.

Calculated values
E above lowest polymorph: 0.00 eV/f.u.
DFT formation energy: 241 meV/atom

a b c (Å): 9.829 9.829 9.829
angles (deg): 41.86 41.86 41.86
Atoms (fractional coordinates):
1 Ho 0.789 0.254 0.254
2 Ho 0.254 0.254 0.789
3 Ho 0.211 0.746 0.746
4 Ho 0.746 0.746 0.211
5 Ho 0.783 0.783 0.783
6 Ho 0.217 0.217 0.217
7 Ho 0.254 0.789 0.254
8 Ho 0.746 0.211 0.746
9 Sc 0.500 0.500 0.500
10 Sc 0.000 0.500 0.500
11 Sc 0.500 0.500 0.000
12 Sc 0.500 0.000 0.500
13 Er 0.000 0.000 0.000

---

Computed, not measured: Ho2ErSc after structural relaxation at the PBE level of DFT.

Calculated values
E above lowest polymorph: 0.06 eV/f.u.
DFT formation energy: 43 meV/atom

a b c (Å): 6.904 6.904 13.780
angles (deg): 119.77 60.23 89.54
Atoms (fractional coordinates):
1 Er 0.252 0.002 0.375
2 Er 0.248 0.498 0.125
3 Er 0.748 0.998 0.625
4 Er 0.752 0.502 0.875
5 Ho 0.747 0.004 0.375
6 Ho 0.746 0.503 0.625
7 Ho 0.247 0.504 0.875
8 Ho 0.254 0.497 0.375
9 Ho 0.754 0.997 0.875
10 Ho 0.246 0.003 0.125
11 Ho 0.253 0.996 0.625
12 Ho 0.753 0.496 0.125
13 Sc 0.747 0.497 0.375
14 Sc 0.253 0.503 0.625
15 Sc 0.247 0.997 0.875
16 Sc 0.753 0.003 0.125